(1)
Density functional theory data (PBE-GGA) for a geometry-optimized Hf2Tl2NiSe6 structure.

Cell: 6.574 6.574 8.276 Å, 98.04 98.04 119.96°
Fractional positions:
Se  0.391  0.069  0.690
Se  0.069  0.391  0.690
Tl  0.171  0.829  0.000
Ni  0.000  0.000  0.500
Se  0.609  0.931  0.310
Se  0.931  0.609  0.310
Tl  0.829  0.171  0.000
Se  0.743  0.743  0.687
Se  0.257  0.257  0.313
Hf  0.669  0.331  0.500
Hf  0.331  0.669  0.500

Properties
Density: 7.24 g/cm³
Magnetic moment: 0.18 μB per atom
Uncorrected formation energy: -837.2 meV per atom

(2)
Density functional theory data (PBE-GGA) for a geometry-optimized PmSm8Dy2 structure.

Cell: 6.710 10.371 10.371 Å, 38.01 59.49 59.49°
Fractional positions:
Sm  0.231  0.351  0.826
Sm  0.825  0.244  0.244
Sm  0.175  0.756  0.756
Sm  0.272  0.409  0.409
Sm  0.728  0.591  0.591
Dy  0.600  0.798  0.798
Sm  0.231  0.826  0.351
Sm  0.769  0.174  0.649
Sm  0.769  0.649  0.174
Pm  0.000  0.000  0.000
Dy  0.400  0.202  0.202

Properties
Excess energy over the best structure of this formula in the dataset: 153 meV/atom
ΔE_f: 16.1 kJ/mol of atoms
Density: 7.41 g/cm³
Magnetic moment: 0.00 μB per atom

(3)
Density functional theory data (PBE-GGA) for a geometry-optimized Tb2Sm3Y6Ho structure.

Cell: 6.202 6.202 11.839 Å, 94.99 94.99 119.96°
Fractional positions:
Y  0.750  0.750  0.248
Tb  0.667  0.333  0.000
Y  0.083  0.416  0.248
Tb  0.333  0.667  0.000
Y  0.584  0.917  0.752
Sm  0.833  0.167  0.500
Y  0.917  0.584  0.752
Y  0.416  0.083  0.248
Sm  0.167  0.833  0.500
Ho  0.000  0.000  0.000
Sm  0.500  0.500  0.500
Y  0.250  0.250  0.752

Properties
ΔE_f: 1.7 kJ/mol of atoms
Density: 6.27 g/cm³
Magnetic moment: 0.00 μB per atom

(4)
Density functional theory data (PBE-GGA) for a geometry-optimized La8Y4Tm structure.

Cell: 11.358 11.359 7.983 Å, 90.00 135.35 120.00°
Fractional positions:
La  0.477  0.238  0.715
La  0.009  0.246  0.771
Y  0.000  0.500  0.000
Tm  0.000  0.500  0.500
Y  0.500  0.000  0.000
Y  0.000  0.000  0.000
La  0.991  0.754  0.229
Y  0.500  0.500  0.000
La  0.523  0.762  0.285
La  0.475  0.237  0.229
La  0.525  0.763  0.771
La  0.991  0.238  0.229
La  0.009  0.762  0.771

Properties
ΔE_f: 42.3 kJ/mol of atoms
Density: 5.34 g/cm³
Magnetic moment: 0.00 μB per atom